Record 1
KSi2W | PBE | relaxed

distance to the lowest polymorph of the same formula = 0.47 eV per formula unit
density = 5.89 g/cm³
ΔE_f (raw) = 339 meV/atom
VASP energy = -5.88 eV/atom

```
4
Lattice="-0.5724 7.9762 4.9425 -1.1592 5.9035 7.2236 1.8034 6.5928 6.4543" Properties=species:S:1:pos:R:3 pbc="T T T"
Si 0.0706 20.1163 18.2964
Si 0.0371 10.5925 9.6342
W 0.0180 5.1181 4.6551
K 0.0539 15.3544 13.9653
```


Record 2
KSiW2 | PBE | relaxed

density = 8.19 g/cm³
ΔE_f (raw) = 846 meV/atom
VASP energy = -7.26 eV/atom

```
4
Lattice="-2.0702 1.4021 2.0748 -0.5206 -2.9576 1.4792 6.1157 1.4764 5.1044" Properties=species:S:1:pos:R:3 pbc="T T T"
W 5.4703 1.3206 4.5657
W 3.7033 0.8940 3.0909
Si 3.2913 0.3295 5.6053
K 0.2335 -0.4086 3.0531
```


Record 3
KSiW2 | PBE | relaxed

density = 9.67 g/cm³
ΔE_f (raw) = 934 meV/atom
VASP energy = -7.17 eV/atom

```
4
Lattice="2.7450 0.0000 0.0000 0.0000 2.7450 0.0000 0.0000 0.0000 9.9081" Properties=species:S:1:pos:R:3 pbc="T T T"
K 1.3725 1.3725 2.4770
W 0.0000 0.0000 9.2888
W 0.0000 0.0000 5.5733
Si 1.3725 1.3725 7.4310
```


Record 4
KSi2W | PBE | relaxed

distance to the lowest polymorph of the same formula = 2.17 eV per formula unit
density = 4.73 g/cm³
ΔE_f (raw) = 764 meV/atom
VASP energy = -5.46 eV/atom

```
4
Lattice="-0.3460 -5.3319 -3.7723 -1.4152 -5.3464 3.4919 -1.1314 5.7509 -2.9029" Properties=species:S:1:pos:R:3 pbc="T T T"
K -1.7136 -2.4673 0.2244
W -1.1790 -2.4601 -3.4077
Si -0.9715 -5.8904 -0.1547
Si -1.6702 -10.1270 -0.2660
```


Record 5
KSi2W | PBE | relaxed

distance to the lowest polymorph of the same formula = 4.81 eV per formula unit
density = 6.72 g/cm³
ΔE_f (raw) = 1424 meV/atom
VASP energy = -4.80 eV/atom

```
4
Lattice="4.6021 0.0000 0.0000 2.3011 3.9856 0.0000 2.3011 1.3285 3.7576" Properties=species:S:1:pos:R:3 pbc="T T T"
Si 0.0000 0.0000 0.0000
Si 2.3011 1.3285 0.9394
W 6.9032 3.9856 2.8182
K 4.6021 2.6570 1.8788
```


Record 6
KSiW2 | PBE | relaxed

density = 8.09 g/cm³
ΔE_f (raw) = 718 meV/atom
VASP energy = -7.39 eV/atom

```
4
Lattice="-3.1940 1.2828 -3.0120 -3.4322 -1.3980 -2.6806 -5.1832 1.1237 5.3644" Properties=species:S:1:pos:R:3 pbc="T T T"
W -9.2913 0.8669 0.3356
W -6.6241 -0.1048 -5.6070
K -5.9062 0.4905 -0.2762
Si -2.5188 0.1450 -0.6374
```


Record 7
KSiW2 | PBE | relaxed

density = 8.05 g/cm³
ΔE_f (raw) = 1091 meV/atom
VASP energy = -7.02 eV/atom

```
4
Lattice="4.4755 0.0000 0.0000 0.0000 2.7416 -0.0424 0.0000 -0.2031 7.3155" Properties=species:S:1:pos:R:3 pbc="T T T"
Si 2.2378 1.9039 5.4549
K 2.2378 0.6346 1.8183
W 0.0000 1.4871 4.3079
W 0.0000 2.3207 6.6018
```


Record 8
KSi2W | PBE | relaxed

distance to the lowest polymorph of the same formula = 0.47 eV per formula unit
density = 5.05 g/cm³
ΔE_f (raw) = 340 meV/atom
VASP energy = -5.88 eV/atom

```
4
Lattice="8.2236 1.6284 -0.2234 5.8515 6.0033 0.2234 -6.4723 -4.8582 2.1990" Properties=species:S:1:pos:R:3 pbc="T T T"
Si 3.1837 -0.3635 0.9878
Si 14.0073 7.5949 0.0000
K 4.0556 2.9399 1.2112
W 7.4687 4.0496 0.0000
```


| no. | V (Å³/f.u.) |
| --- | --- |
| 1 | 78.64 |
| 2 | 88.12 |
| 3 | 74.66 |
| 4 | 98.06 |
| 5 | 68.92 |
| 6 | 89.22 |
| 7 | 89.72 |
| 8 | 91.85 |